No. 1
A plane-wave DFT calculation with PBE was carried out for crystalline Pm6Dy8Sn at its relaxed geometry.

Computed properties:
Calculated volume = 493 Å³/cell
ΔH_f (0 K) = 0.514 eV per formula unit
SG = P-3 (147)
Crystal system = trigonal

Lattice parameters (Å, degrees): 9.385 9.385 6.466 90.00 90.00 120.00
Element x y z (fractional)
Pm  0.091  0.642  0.178
Pm  0.358  0.449  0.178
Pm  0.449  0.091  0.822
Pm  0.551  0.909  0.178
Pm  0.642  0.551  0.822
Pm  0.909  0.358  0.822
Dy  0.038  0.776  0.686
Dy  0.224  0.262  0.686
Dy  0.262  0.038  0.314
Dy  0.333  0.667  0.657
Dy  0.667  0.333  0.343
Dy  0.738  0.962  0.686
Dy  0.776  0.738  0.314
Dy  0.962  0.224  0.314
Sn  0.000  0.000  0.000

=====

No. 2
A plane-wave DFT calculation with PBE was carried out for crystalline Pm6DySn at its relaxed geometry.

Computed properties:
Calculated volume = 254 Å³/cell
ΔH_f (0 K) = -1.577 eV per formula unit
SG = P4/mmm (123)
Crystal system = tetragonal

Lattice parameters (Å, degrees): 4.973 4.973 10.283 90.00 90.00 90.00
Element x y z (fractional)
Pm  0.000  0.000  0.000
Pm  0.000  0.000  0.500
Pm  0.000  0.500  0.241
Pm  0.000  0.500  0.759
Pm  0.500  0.000  0.241
Pm  0.500  0.000  0.759
Dy  0.500  0.500  0.500
Sn  0.500  0.500  0.000